# BaAlAg | Alexandria | meta-GGA SCAN | single point on PBEsol structure
data_BaAlAg
_cell_length_a 4.687
_cell_length_b 4.687
_cell_length_c 4.525
_cell_angle_alpha 90.00
_cell_angle_beta 90.00
_cell_angle_gamma 120.00
_symmetry_space_group_name_H-M 'P 1'
_symmetry_Int_Tables_number 1
loop_
_symmetry_equiv_pos_as_xyz
'x,y,z'
loop_
_atom_site_label
_atom_site_type_symbol
_atom_site_fract_x
_atom_site_fract_y
_atom_site_fract_z
Ba1 Ba 0.000 0.000 0.000
Al1 Al 0.667 0.333 0.500
Ag1 Ag 0.333 0.667 0.500
# Energy of formation from the pure elements: -207 meV per atom
# Volume: 86.1 Å³ per cell
# Symmetry: No. 187